A geometry-optimized CaMgPb structure, computed with PBEsol.

CIF file:
```
data_CaMgPb
_cell_length_a 7.841
_cell_length_b 4.708
_cell_length_c 8.853
_cell_angle_alpha 90.00
_cell_angle_beta 90.00
_cell_angle_gamma 90.00
_symmetry_space_group_name_H-M 'P 1'
_symmetry_Int_Tables_number 1
loop_
_symmetry_equiv_pos_as_xyz
'x,y,z'
loop_
_atom_site_label
_atom_site_type_symbol
_atom_site_fract_x
_atom_site_fract_y
_atom_site_fract_z
_atom_site_occupancy
Ca1 Ca 0.022 0.250 0.184 1
Ca2 Ca 0.478 0.750 0.684 1
Ca3 Ca 0.522 0.250 0.316 1
Ca4 Ca 0.978 0.750 0.816 1
Mg1 Mg 0.143 0.250 0.561 1
Mg2 Mg 0.357 0.750 0.061 1
Mg3 Mg 0.643 0.250 0.939 1
Mg4 Mg 0.857 0.750 0.439 1
Pb1 Pb 0.239 0.750 0.382 1
Pb2 Pb 0.261 0.250 0.882 1
Pb3 Pb 0.739 0.750 0.118 1
Pb4 Pb 0.761 0.250 0.618 1
```

- Formation energy: -0.484 eV per atom
- DOS(E_F): 0.121 states/eV per atom
- Calculated total energy: -3.100 eV/atom